1.
The following is a DFT calculation (PBE) of GdPaBiTe after structural relaxation.

The structure belongs to space group F-43m (No. 216); the cell edges are 7.643, 7.643 and 7.643 Å and the angles 90.00°, 90.00° and 90.00°. The asymmetric unit holds Gd at (0.000, 0.000, 0.000), Pa at (0.000, 0.000, 0.500), Bi at (0.250, 0.250, 0.250) and Te at (0.250, 0.250, 0.750).

The uncorrected formation energy comes out at -0.643 eV/atom. Its density of states at the Fermi level is 26.0 states/eV/cell. The calculation puts the calculated volume at 27.90 Å³/atom. The value obtained for the total energy is -132.7 eV/cell.

=====

2.
The following is a DFT calculation (PBE) of Li2MoRu after structural relaxation.

The structure belongs to space group Pmmm (No. 47); the cell edges are 3.035, 4.072 and 4.685 Å and the angles 90.00°, 90.00° and 90.00°. The asymmetric unit holds Li at (0.000, 0.000, 0.000), Li at (0.500, 0.500, 0.000), Mo at (0.000, 0.500, 0.500) and Ru at (0.500, 0.000, 0.500).

Its density of states at the Fermi level is 2.2 states/eV/cell. The calculation puts the calculated volume at 14.47 Å³/atom. The value obtained for the total energy is -23.0 eV/cell. The value obtained for the offset from the most stable computed form is 34 meV/atom.

=====

3.
The following is a DFT calculation (PBE) of MoAu2 after structural relaxation.

The structure belongs to space group P4/mmm (No. 123); the cell edges are 4.865, 4.865 and 2.698 Å and the angles 90.00°, 90.00° and 90.00°. The asymmetric unit holds Mo at (0.000, 0.000, 0.000) and Au at (0.000, 0.500, 0.500).

Its density of states at the Fermi level is 2.5 states/eV/cell. The calculation puts the calculated volume at 21.29 Å³/atom. The value obtained for the total energy is -15.9 eV/cell.